Density functional theory data (meta-GGA SCAN) for a PBEsol-optimized structure of TlAsRh2Br.

The uncorrected formation energy comes out at 1527 meV/atom.

a b c (Å): 4.963 4.963 5.203
angles (deg): 90.00 90.00 90.00
Fractional coordinates of all 5 atoms:
Tl 0.000 0.000 0.000
As 0.500 0.500 0.500
Rh 0.000 0.500 0.000
Rh 0.500 0.000 0.000
Br 0.000 0.000 0.500



Density functional theory data (meta-GGA SCAN) for a PBEsol-optimized structure of NiTeOs2W.

The uncorrected formation energy comes out at 2513 meV/atom.

a b c (Å): 4.730 4.730 4.373
angles (deg): 90.00 90.00 90.00
Fractional coordinates of all 5 atoms:
Ni 0.000 0.000 0.000
Te 0.000 0.000 0.500
Os 0.000 0.500 0.500
Os 0.500 0.000 0.500
W 0.500 0.500 0.000



Density functional theory data (meta-GGA SCAN) for a PBEsol-optimized structure of SrZrZn2.

For the formation energy, the calculation gives 0.4460 eV/atom.

a b c (Å): 4.930 4.930 4.930
angles (deg): 60.00 60.00 60.00
Fractional coordinates of all 4 atoms:
Sr 0.000 0.000 0.000
Zr 0.750 0.750 0.750
Zn 0.250 0.250 0.250
Zn 0.500 0.500 0.500



Density functional theory data (meta-GGA SCAN) for a PBEsol-optimized structure of RbLiHfAu2.

For the formation energy, the calculation gives 1.7308 eV/atom.

a b c (Å): 5.530 5.530 5.335
angles (deg): 90.00 90.00 90.00
Fractional coordinates of all 5 atoms:
Rb 0.000 0.000 0.000
Li 0.500 0.500 0.500
Hf 0.000 0.000 0.500
Au 0.000 0.500 0.000
Au 0.500 0.000 0.000



Density functional theory data (meta-GGA SCAN) for a PBEsol-optimized structure of AgSn3N.

The uncorrected formation energy comes out at 684 meV/atom.

a b c (Å): 4.684 4.684 4.684
angles (deg): 90.00 90.00 90.00
Fractional coordinates of all 5 atoms:
Ag 0.000 0.000 0.000
Sn 0.000 0.500 0.500
Sn 0.500 0.000 0.500
Sn 0.500 0.500 0.000
N 0.500 0.500 0.500



Density functional theory data (meta-GGA SCAN) for a PBEsol-optimized structure of TlAuSe.

The uncorrected formation energy comes out at 4 meV/atom.

a b c (Å): 4.687 4.687 4.687
angles (deg): 60.00 60.00 60.00
Fractional coordinates of all 3 atoms:
Tl 0.000 0.000 0.000
Au 0.250 0.250 0.250
Se 0.500 0.500 0.500



Density functional theory data (meta-GGA SCAN) for a PBEsol-optimized structure of Cu2HgW.

For the formation energy, the calculation gives 0.6843 eV/atom.

a b c (Å): 2.735 4.560 4.844
angles (deg): 90.00 90.00 90.00
Fractional coordinates of all 4 atoms:
Cu 0.000 0.000 0.000
Cu 0.500 0.000 0.500
Hg 0.000 0.500 0.500
W 0.500 0.500 0.000



Density functional theory data (meta-GGA SCAN) for a PBEsol-optimized structure of CaPr3.

For the formation energy, the calculation gives 0.0757 eV/atom.

a b c (Å): 7.378 7.378 5.922
angles (deg): 90.00 90.00 120.00
Fractional coordinates of all 8 atoms:
Ca 0.333 0.667 0.250
Ca 0.667 0.333 0.750
Pr 0.164 0.328 0.750
Pr 0.164 0.836 0.750
Pr 0.328 0.164 0.250
Pr 0.672 0.836 0.750
Pr 0.836 0.164 0.250
Pr 0.836 0.672 0.250



Density functional theory data (meta-GGA SCAN) for a PBEsol-optimized structure of Ca7Ni4Sn13.

For the formation energy, the calculation gives -0.5549 eV/atom.

a b c (Å): 11.110 11.110 4.552
angles (deg): 90.00 90.00 90.00
Fractional coordinates of all 24 atoms:
Ca 0.000 0.000 0.000
Ca 0.000 0.500 0.500
Ca 0.329 0.339 0.500
Ca 0.339 0.671 0.500
Ca 0.500 0.000 0.500
Ca 0.661 0.329 0.500
Ca 0.671 0.661 0.500
Ni 0.120 0.725 0.000
Ni 0.275 0.120 0.000
Ni 0.725 0.880 0.000
Ni 0.880 0.275 0.000
Sn 0.077 0.810 0.500
Sn 0.110 0.284 0.000
Sn 0.190 0.077 0.500
Sn 0.215 0.519 0.000
Sn 0.284 0.890 0.000
Sn 0.481 0.215 0.000
Sn 0.500 0.500 0.000
Sn 0.519 0.785 0.000
Sn 0.716 0.110 0.000
Sn 0.785 0.481 0.000
Sn 0.810 0.923 0.500
Sn 0.890 0.716 0.000
Sn 0.923 0.190 0.500



Density functional theory data (meta-GGA SCAN) for a PBEsol-optimized structure of RbTiZn3.

For the formation energy, the calculation gives 0.4911 eV/atom.

a b c (Å): 5.171 5.171 5.171
angles (deg): 90.00 90.00 90.00
Fractional coordinates of all 5 atoms:
Rb 0.000 0.000 0.000
Ti 0.500 0.500 0.500
Zn 0.000 0.500 0.500
Zn 0.500 0.000 0.500
Zn 0.500 0.500 0.000



Density functional theory data (meta-GGA SCAN) for a PBEsol-optimized structure of Co.

For the formation energy, the calculation gives 0.0548 eV/atom. The calculation puts the polymorph energy (0 for the lowest one) at 0.055 eV/f.u.

a b c (Å): 2.453 2.453 3.956
angles (deg): 90.00 90.00 120.00
Fractional coordinates of all 2 atoms:
Co 0.333 0.667 0.250
Co 0.667 0.333 0.750



Density functional theory data (meta-GGA SCAN) for a PBEsol-optimized structure of In2SbIr.

The uncorrected formation energy comes out at 302 meV/atom.

a b c (Å): 5.383 5.383 5.383
angles (deg): 138.75 124.72 71.25
Fractional coordinates of all 4 atoms:
In 0.228 0.228 0.000
In 0.772 0.772 0.000
Sb 0.500 0.000 0.500
Ir 0.000 0.500 0.500



Density functional theory data (meta-GGA SCAN) for a PBEsol-optimized structure of LaPtRh2.

For the formation energy, the calculation gives -0.6464 eV/atom.

a b c (Å): 4.469 4.469 5.292
angles (deg): 114.59 114.59 59.90
Fractional coordinates of all 4 atoms:
La 0.000 0.000 0.000
Pt 0.500 0.500 0.500
Rh 0.193 0.193 0.579
Rh 0.807 0.807 0.421



Density functional theory data (meta-GGA SCAN) for a PBEsol-optimized structure of Ca4Ta2O9.

The uncorrected formation energy comes out at -3301 meV/atom. The calculation puts the polymorph energy (0 for the lowest one) at 0.487 eV/f.u.

a b c (Å): 5.637 5.637 15.012
angles (deg): 90.00 90.00 120.00
Fractional coordinates of all 30 atoms:
Ca 0.000 0.000 0.000
Ca 0.000 0.000 0.240
Ca 0.000 0.000 0.500
Ca 0.000 0.000 0.760
Ca 0.333 0.667 0.144
Ca 0.333 0.667 0.359
Ca 0.667 0.333 0.641
Ca 0.667 0.333 0.856
Ta 0.333 0.667 0.649
Ta 0.333 0.667 0.848
Ta 0.667 0.333 0.152
Ta 0.667 0.333 0.351
O 0.032 0.606 0.750
O 0.054 0.344 0.596
O 0.055 0.338 0.900
O 0.283 0.945 0.900
O 0.290 0.946 0.596
O 0.338 0.283 0.100
O 0.344 0.290 0.404
O 0.394 0.426 0.750
O 0.426 0.032 0.250
O 0.574 0.968 0.750
O 0.606 0.574 0.250
O 0.656 0.710 0.596
O 0.662 0.717 0.900
O 0.710 0.054 0.404
O 0.717 0.055 0.100
O 0.945 0.662 0.100
O 0.946 0.656 0.404
O 0.968 0.394 0.250



Density functional theory data (meta-GGA SCAN) for a PBEsol-optimized structure of VSiP2O9.

The uncorrected formation energy comes out at -2614 meV/atom.

a b c (Å): 8.743 8.743 8.216
angles (deg): 90.00 90.00 90.00
Fractional coordinates of all 52 atoms:
V 0.250 0.250 0.149
V 0.250 0.250 0.649
V 0.750 0.750 0.351
V 0.750 0.750 0.851
Si 0.250 0.750 0.000
Si 0.250 0.750 0.500
Si 0.750 0.250 0.000
Si 0.750 0.250 0.500
P 0.069 0.569 0.250
P 0.069 0.931 0.750
P 0.431 0.569 0.750
P 0.431 0.931 0.250
P 0.569 0.069 0.750
P 0.569 0.431 0.250
P 0.931 0.069 0.250
P 0.931 0.431 0.750
O 0.092 0.095 0.195
O 0.092 0.405 0.695
O 0.095 0.092 0.695
O 0.095 0.408 0.195
O 0.110 0.687 0.110
O 0.110 0.813 0.610
O 0.187 0.610 0.390
O 0.187 0.890 0.890
O 0.250 0.250 0.454
O 0.250 0.250 0.954
O 0.313 0.610 0.890
O 0.313 0.890 0.390
O 0.390 0.687 0.610
O 0.390 0.813 0.110
O 0.405 0.092 0.195
O 0.405 0.408 0.695
O 0.408 0.095 0.695
O 0.408 0.405 0.195
O 0.592 0.595 0.805
O 0.592 0.905 0.305
O 0.595 0.592 0.305
O 0.595 0.908 0.805
O 0.610 0.187 0.890
O 0.610 0.313 0.390
O 0.687 0.110 0.610
O 0.687 0.390 0.110
O 0.750 0.750 0.046
O 0.750 0.750 0.546
O 0.813 0.110 0.110
O 0.813 0.390 0.610
O 0.890 0.187 0.390
O 0.890 0.313 0.890
O 0.905 0.592 0.805
O 0.905 0.908 0.305
O 0.908 0.595 0.305
O 0.908 0.905 0.805



Density functional theory data (meta-GGA SCAN) for a PBEsol-optimized structure of ScTePd3.

The uncorrected formation energy comes out at 278 meV/atom.

a b c (Å): 4.719 4.719 4.719
angles (deg): 90.00 90.00 90.00
Fractional coordinates of all 5 atoms:
Sc 0.000 0.000 0.000
Te 0.500 0.500 0.500
Pd 0.000 0.000 0.500
Pd 0.000 0.500 0.000
Pd 0.500 0.000 0.000



Density functional theory data (meta-GGA SCAN) for a PBEsol-optimized structure of YAl2CoTc.

For the formation energy, the calculation gives 2.0170 eV/atom.

a b c (Å): 5.185 5.185 4.529
angles (deg): 90.00 90.00 90.00
Fractional coordinates of all 5 atoms:
Y 0.000 0.000 0.000
Al 0.000 0.500 0.000
Al 0.500 0.000 0.000
Co 0.500 0.500 0.500
Tc 0.000 0.000 0.500



Density functional theory data (meta-GGA SCAN) for a PBEsol-optimized structure of BaIn2SnN.

The uncorrected formation energy comes out at 297 meV/atom.

a b c (Å): 4.847 4.847 5.309
angles (deg): 90.00 90.00 90.00
Fractional coordinates of all 5 atoms:
Ba 0.000 0.000 0.000
In 0.000 0.500 0.500
In 0.500 0.000 0.500
Sn 0.500 0.500 0.000
N 0.500 0.500 0.500



Density functional theory data (meta-GGA SCAN) for a PBEsol-optimized structure of RbIn2Ag.

For the formation energy, the calculation gives 0.2151 eV/atom.

a b c (Å): 5.280 5.280 5.280
angles (deg): 60.00 60.00 60.00
Fractional coordinates of all 4 atoms:
Rb 0.000 0.000 0.000
In 0.250 0.250 0.250
In 0.750 0.750 0.750
Ag 0.500 0.500 0.500



Density functional theory data (meta-GGA SCAN) for a PBEsol-optimized structure of AlCrF2.

The uncorrected formation energy comes out at -1306 meV/atom.

a b c (Å): 4.865 4.865 4.865
angles (deg): 46.74 46.74 46.74
Fractional coordinates of all 4 atoms:
Al 0.000 0.000 0.000
Cr 0.500 0.500 0.500
F 0.350 0.350 0.350
F 0.650 0.650 0.650